Record 1
The following is a meta-GGA SCAN calculation of a crystal of MgIn2W relaxed with PBEsol, from Alexandria.

Cell: 3.545 3.545 6.071 Å, 90.00 90.00 90.00°
Atoms (fractional coordinates):
Mg: 0.000 0.000 0.000
In: 0.500 0.500 0.261
In: 0.500 0.500 0.739
W: 0.000 0.000 0.500

Summary:
Energy relative to the elements (eV/atom): 0.422

=====

Record 2
The following is a meta-GGA SCAN calculation of a crystal of Rb2Al2Au relaxed with PBEsol, from Alexandria.

Cell: 11.104 11.104 11.104 Å, 160.05 160.05 28.36°
Atoms (fractional coordinates):
Rb: 0.096 0.096 0.000
Rb: 0.904 0.904 0.000
Al: 0.250 0.750 0.500
Al: 0.750 0.250 0.500
Au: 0.500 0.500 0.000

Summary:
Energy relative to the elements (eV/atom): 0.049
Energy above the lowest structure with this stoichiometry (meV per atom): 0

=====

Number 1: DOS at the Fermi energy 1.44 states/eV/cell. Number 2: DOS at the Fermi energy 1.37 states/eV/cell.